(1)
Entry from Alexandria via LeMat-Bulk: crystalline YIrRu2 at its relaxed geometry (PBE-GGA).

a b c (Å): 2.939 4.631 9.923
angles (deg): 90.00 90.00 90.00
Space group Imm2 (No. 44)
Inequivalent atoms, fractional coordinates:
Y  0.000  0.000  0.000 [2 per cell]
Ir  0.000  0.500  0.774 [2 per cell]
Ru  0.000  0.000  0.501 [2 per cell]
Ru  0.000  0.500  0.222 [2 per cell]

Total energy: -0.3085 hartree per atom
Crystal system: orthorhombic
Energy of formation: 74 meV/atom

(2)
Entry from Alexandria via LeMat-Bulk: crystalline TmPuIn6 at its relaxed geometry (PBE-GGA).

a b c (Å): 4.632 4.632 9.268
angles (deg): 90.00 90.00 90.00
Space group P4/mmm (No. 123)
Inequivalent atoms, fractional coordinates:
Tm  0.000  0.000  0.000 [1 per cell]
Pu  0.000  0.000  0.500 [1 per cell]
In  0.000  0.500  0.249 [4 per cell]
In  0.500  0.500  0.000 [1 per cell]
In  0.500  0.500  0.500 [1 per cell]

Total energy: -0.1729 hartree per atom
Crystal system: tetragonal
Energy of formation: -300 meV/atom

(3)
Entry from Alexandria via LeMat-Bulk: crystalline MgCd2H2 at its relaxed geometry (PBE-GGA).

a b c (Å): 5.626 5.626 4.807
angles (deg): 90.00 90.00 90.00
Space group P4/mbm (No. 127)
Inequivalent atoms, fractional coordinates:
Mg  0.000  0.000  0.000 [2 per cell]
Cd  0.180  0.320  0.500 [4 per cell]
H  0.202  0.298  0.000 [4 per cell]

Total energy: -0.0714 hartree per atom
Crystal system: tetragonal

(4)
Entry from Alexandria via LeMat-Bulk: crystalline SmYPS at its relaxed geometry (PBE-GGA).

a b c (Å): 4.0112 4.0112 19.7699
angles (deg): 90.00 90.00 120.00
Space group R3m (No. 160, hexagonal axes)
Inequivalent atoms, fractional coordinates:
Sm  0.0000  0.0000  0.0000 [3 per cell]
Y  0.0000  0.0000  0.5059 [3 per cell]
P  0.0000  0.0000  0.2508 [3 per cell]
S  0.0000  0.0000  0.7552 [3 per cell]

Uncorrected formation energy: -1.87 eV/atom
Total energy: -0.2591 hartree per atom
Crystal system: trigonal

(5)
Entry from Alexandria via LeMat-Bulk: crystalline GaH2 at its relaxed geometry (PBE-GGA).

a b c (Å): 3.127 3.528 3.321
angles (deg): 90.00 116.36 90.00
Space group Pm (No. 6)
Inequivalent atoms, fractional coordinates:
Ga  0.000  0.000  0.000 [1 per cell]
H  0.326  0.000  0.640 [1 per cell]
H  0.975  0.500  0.971 [1 per cell]

Total energy: -0.1079 hartree per atom
Crystal system: monoclinic

(6)
Entry from Alexandria via LeMat-Bulk: crystalline MnNbVMo at its relaxed geometry (PBE-GGA).

a b c (Å): 6.151 6.151 6.151
angles (deg): 90.00 90.00 90.00
Space group F-43m (No. 216)
Inequivalent atoms, fractional coordinates:
Mn  0.000  0.000  0.000 [4 per cell]
Nb  0.250  0.250  0.250 [4 per cell]
V  0.250  0.250  0.750 [4 per cell]
Mo  0.000  0.000  0.500 [4 per cell]

Total energy: -0.3633 hartree per atom
Crystal system: cubic
Energy of formation: -89 meV/atom

(7)
Entry from Alexandria via LeMat-Bulk: crystalline CePr2NpP4 at its relaxed geometry (PBE-GGA).

a b c (Å): 7.109 4.102 7.144
angles (deg): 90.00 109.41 90.00
Space group P2/m (No. 10)
Inequivalent atoms, fractional coordinates:
Ce  0.000  0.000  0.000 [1 per cell]
Pr  0.000  0.500  0.500 [1 per cell]
Pr  0.500  0.000  0.500 [1 per cell]
Np  0.500  0.500  0.000 [1 per cell]
P  0.250  0.500  0.236 [2 per cell]
P  0.260  0.000  0.767 [2 per cell]

Total energy: -0.2793 hartree per atom
Crystal system: monoclinic
Energy of formation: -1342 meV/atom

(8)
Entry from Alexandria via LeMat-Bulk: crystalline Cs2Ce2CuSe6 at its relaxed geometry (PBE-GGA).

a b c (Å): 7.073 12.746 8.902
angles (deg): 90.00 105.49 90.00
Space group C2/m (No. 12)
Inequivalent atoms, fractional coordinates:
Cs  0.000  0.159  0.000 [4 per cell]
Ce  0.000  0.333  0.500 [4 per cell]
Cu  0.000  0.000  0.500 [2 per cell]
Se  0.232  0.170  0.686 [8 per cell]
Se  0.236  0.000  0.342 [4 per cell]

Uncorrected formation energy: -1.20 eV/atom
Total energy: -0.1728 hartree per atom
Crystal system: monoclinic

(9)
Entry from Alexandria via LeMat-Bulk: crystalline SrAcCd2In2 at its relaxed geometry (PBE-GGA).

a b c (Å): 5.1177 5.1177 8.0787
angles (deg): 90.00 90.00 120.00
Space group P-3m1 (No. 164)
Inequivalent atoms, fractional coordinates:
Sr  0.0000  0.0000  0.0000 [1 per cell]
Ac  0.0000  0.0000  0.5000 [1 per cell]
Cd  0.3333  0.6667  0.2565 [2 per cell]
In  0.3333  0.6667  0.7349 [2 per cell]

Total energy: -0.0956 hartree per atom
Crystal system: trigonal
Energy of formation: -419 meV/atom

(10)
Entry from Alexandria via LeMat-Bulk: crystalline PuMgZnRh at its relaxed geometry (PBE-GGA).

a b c (Å): 6.755 6.755 6.755
angles (deg): 90.00 90.00 90.00
Space group F-43m (No. 216)
Inequivalent atoms, fractional coordinates:
Pu  0.000  0.000  0.000 [4 per cell]
Mg  0.000  0.000  0.500 [4 per cell]
Zn  0.250  0.250  0.250 [4 per cell]
Rh  0.250  0.250  0.750 [4 per cell]

Total energy: -0.2337 hartree per atom
Crystal system: cubic
Energy of formation: -220 meV/atom

(11)
Entry from Alexandria via LeMat-Bulk: crystalline NaTaP3 at its relaxed geometry (PBE-GGA).

a b c (Å): 4.854 4.854 4.854
angles (deg): 90.00 90.00 90.00
Space group Pm-3m (No. 221)
Inequivalent atoms, fractional coordinates:
Na  0.000  0.000  0.000 [1 per cell]
Ta  0.500  0.500  0.500 [1 per cell]
P  0.000  0.500  0.500 [3 per cell]

Total energy: -0.2163 hartree per atom
Crystal system: cubic
Energy of formation: -6 meV/atom

(12)
Entry from Alexandria via LeMat-Bulk: crystalline Y2HgPd6 at its relaxed geometry (PBE-GGA).

a b c (Å): 8.352 7.763 5.358
angles (deg): 90.00 97.91 90.00
Space group C2/m (No. 12)
Inequivalent atoms, fractional coordinates:
Y  0.192  0.000  0.133 [4 per cell]
Hg  0.000  0.500  0.500 [2 per cell]
Pd  0.000  0.323  0.000 [4 per cell]
Pd  0.151  0.173  0.642 [8 per cell]

Total energy: -0.2000 hartree per atom
Crystal system: monoclinic
Energy of formation: -510 meV/atom

(13)
Entry from Alexandria via LeMat-Bulk: crystalline ThCuNi5 at its relaxed geometry (PBE-GGA).

a b c (Å): 7.900 4.889 10.006
angles (deg): 90.00 90.00 90.00
Space group Pnma (No. 62)
Inequivalent atoms, fractional coordinates:
Th  0.243  0.250  0.061 [4 per cell]
Cu  0.145  0.750  0.856 [4 per cell]
Ni  0.056  0.750  0.098 [4 per cell]
Ni  0.066  0.005  0.309 [8 per cell]
Ni  0.103  0.250  0.519 [4 per cell]
Ni  0.186  0.250  0.754 [4 per cell]

Total energy: -0.2224 hartree per atom
Crystal system: orthorhombic
Energy of formation: -276 meV/atom

(14)
Entry from Alexandria via LeMat-Bulk: crystalline NaSn2MoSe at its relaxed geometry (PBE-GGA).

a b c (Å): 5.235 5.235 5.769
angles (deg): 90.00 90.00 90.00
Space group P4/mmm (No. 123)
Inequivalent atoms, fractional coordinates:
Na  0.000  0.000  0.000 [1 per cell]
Sn  0.000  0.500  0.500 [2 per cell]
Mo  0.000  0.000  0.500 [1 per cell]
Se  0.500  0.500  0.000 [1 per cell]

Uncorrected formation energy: 0.62 eV/atom
Total energy: -0.1509 hartree per atom
Crystal system: tetragonal

(15)
Entry from Alexandria via LeMat-Bulk: crystalline KNaCaBi at its relaxed geometry (PBE-GGA).

a b c (Å): 8.262 8.262 8.262
angles (deg): 90.00 90.00 90.00
Space group F-43m (No. 216)
Inequivalent atoms, fractional coordinates:
K  0.000  0.000  0.000 [4 per cell]
Na  0.250  0.250  0.250 [4 per cell]
Ca  0.250  0.250  0.750 [4 per cell]
Bi  0.000  0.000  0.500 [4 per cell]

Total energy: -0.0859 hartree per atom
Crystal system: cubic
Energy of formation: -262 meV/atom

(16)
Entry from Alexandria via LeMat-Bulk: crystalline PrThNi2 at its relaxed geometry (PBE-GGA).

a b c (Å): 7.016 7.016 7.016
angles (deg): 90.00 90.00 90.00
Space group Fm-3m (No. 225)
Inequivalent atoms, fractional coordinates:
Pr  0.000  0.000  0.000 [4 per cell]
Th  0.000  0.000  0.500 [4 per cell]
Ni  0.250  0.250  0.250 [8 per cell]

Total energy: -0.2261 hartree per atom
Crystal system: cubic
Energy of formation: -212 meV/atom

(17)
Entry from Alexandria via LeMat-Bulk: crystalline Cs3Nd3SnSe8 at its relaxed geometry (PBE-GGA).

a b c (Å): 8.5966 8.5966 25.8253
angles (deg): 90.00 90.00 120.00
Space group R-3m (No. 166, hexagonal axes)
Inequivalent atoms, fractional coordinates:
Cs  0.0000  0.5000  0.0000 [9 per cell]
Nd  0.0000  0.5000  0.5000 [9 per cell]
Sn  0.0000  0.0000  0.5000 [3 per cell]
Se  0.0000  0.0000  0.2298 [6 per cell]
Se  0.0208  0.5104  0.2274 [18 per cell]

Uncorrected formation energy: -1.43 eV/atom
Total energy: -0.1718 hartree per atom
Crystal system: trigonal

(18)
Entry from Alexandria via LeMat-Bulk: crystalline ScMnAlV2 at its relaxed geometry (PBE-GGA).

a b c (Å): 4.456 4.456 4.857
angles (deg): 90.00 90.00 90.00
Space group P4/mmm (No. 123)
Inequivalent atoms, fractional coordinates:
Sc  0.000  0.000  0.000 [1 per cell]
Mn  0.500  0.500  0.000 [1 per cell]
Al  0.000  0.000  0.500 [1 per cell]
V  0.000  0.500  0.500 [2 per cell]

Total energy: -0.2197 hartree per atom
Crystal system: tetragonal
Energy of formation: 1519 meV/atom

(19)
Entry from Alexandria via LeMat-Bulk: crystalline HfZr3Tl at its relaxed geometry (PBE-GGA).

a b c (Å): 5.297 5.297 5.297
angles (deg): 90.00 90.00 90.00
Space group Pm-3m (No. 221)
Inequivalent atoms, fractional coordinates:
Hf  0.000  0.000  0.000 [1 per cell]
Zr  0.000  0.500  0.500 [3 per cell]
Tl  0.500  0.500  0.500 [1 per cell]

Total energy: -0.2329 hartree per atom
Crystal system: cubic
Energy of formation: 1255 meV/atom

(20)
Entry from Alexandria via LeMat-Bulk: crystalline Ti6NiRh at its relaxed geometry (PBE-GGA).

a b c (Å): 5.568 10.063 5.471
angles (deg): 90.00 119.72 90.00
Space group C2/m (No. 12)
Inequivalent atoms, fractional coordinates:
Ti  0.010  0.214  0.246 [8 per cell]
Ti  0.020  0.500  0.763 [4 per cell]
Ni  0.000  0.000  0.000 [2 per cell]
Rh  0.000  0.000  0.500 [2 per cell]

Total energy: -0.2760 hartree per atom
Crystal system: monoclinic
Energy of formation: 51 meV/atom

(21)
Entry from Alexandria via LeMat-Bulk: crystalline ThMg2Cd2Ag2 at its relaxed geometry (PBE-GGA).

a b c (Å): 4.9043 4.9043 22.8052
angles (deg): 90.00 90.00 120.00
Space group R-3m (No. 166, hexagonal axes)
Inequivalent atoms, fractional coordinates:
Th  0.0000  0.0000  0.0000 [3 per cell]
Mg  0.0000  0.0000  0.1414 [6 per cell]
Cd  0.0000  0.0000  0.4176 [6 per cell]
Ag  0.0000  0.0000  0.2631 [6 per cell]

Total energy: -0.0991 hartree per atom
Crystal system: trigonal
Energy of formation: -105 meV/atom

(22)
Entry from Alexandria via LeMat-Bulk: crystalline Na3Ga5Pt2 at its relaxed geometry (PBE-GGA).

a b c (Å): 11.366 12.300 5.992
angles (deg): 90.00 90.00 90.00
Space group Ibam (No. 72)
Inequivalent atoms, fractional coordinates:
Na  0.000  0.000  0.250 [4 per cell]
Na  0.236  0.128  0.000 [8 per cell]
Ga  0.000  0.261  0.250 [8 per cell]
Ga  0.000  0.500  0.250 [4 per cell]
Ga  0.153  0.391  0.000 [8 per cell]
Pt  0.139  0.162  0.500 [8 per cell]

Total energy: -0.1249 hartree per atom
Crystal system: orthorhombic
Energy of formation: -283 meV/atom

(23)
Entry from Alexandria via LeMat-Bulk: crystalline TlBi2Te2 at its relaxed geometry (PBE-GGA).

a b c (Å): 4.623 4.623 16.532
angles (deg): 90.00 90.00 90.00
Space group I4/mmm (No. 139)
Inequivalent atoms, fractional coordinates:
Tl  0.000  0.000  0.000 [2 per cell]
Bi  0.000  0.500  0.250 [4 per cell]
Te  0.000  0.000  0.408 [4 per cell]

Uncorrected formation energy: 0.03 eV/atom
Total energy: -0.1196 hartree per atom
Crystal system: tetragonal

(24)
Entry from Alexandria via LeMat-Bulk: crystalline Ba2MgPt2 at its relaxed geometry (PBE-GGA).

a b c (Å): 7.906 12.294 6.343
angles (deg): 90.00 90.00 90.00
Space group Ibam (No. 72)
Inequivalent atoms, fractional coordinates:
Ba  0.157  0.147  0.000 [8 per cell]
Mg  0.000  0.500  0.250 [4 per cell]
Pt  0.229  0.400  0.000 [8 per cell]

Total energy: -0.1527 hartree per atom
Crystal system: orthorhombic
Energy of formation: -651 meV/atom